First-principles (PBE+U) data for an optimized crystal structure of KWO2, as listed in the Alexandria database.

Computed properties:
Calculated total energy in eV per atom: -5.787
Spin magnetization in μB/cell: 5.920
Space group: I-42d

a = 6.984 Å, b = 6.984 Å, c = 6.984 Å
α = 137.27°, β = 137.27°, γ = 62.02°
Fractional coordinates of all 8 atoms:
K 0.000 0.000 0.000
K 0.750 0.250 0.500
W 0.250 0.750 0.500
W 0.500 0.500 0.000
O 0.251 0.625 0.126
O 0.375 0.501 0.626
O 0.499 0.125 0.874
O 0.875 0.749 0.374